Entry 1:
Material: K2NpBiO6
Method: DFT, GGA-PBE
State: relaxed

Values from the calculation:
Electronic total energy (eV per atom): -6.96
Raw formation energy (eV/atom): -2.09

Cell lengths 6.1853, 6.1857, 8.7472 Å; angles 90.00, 90.00, 90.00 degrees
Atoms (fractional coordinates):
O  0.2324  0.9830  0.0000
O  0.0000  0.7507  0.7676
O  0.5000  0.2493  0.2676
O  0.7675  0.5182  0.0000
O  0.7325  0.4818  0.5000
O  0.2676  0.0170  0.5000
O  0.7676  0.9830  0.0000
O  0.2325  0.5182  0.0000
O  0.7324  0.0170  0.5000
O  0.2675  0.4818  0.5000
O  0.5000  0.2493  0.7324
O  0.0000  0.7507  0.2324
Np  0.5000  0.2495  0.5000
Np  0.0000  0.7505  0.0000
Bi  0.5000  0.2504  0.0000
Bi  0.0000  0.7496  0.5000
K  0.0000  0.2496  0.2500
K  0.5000  0.7504  0.7500
K  0.0000  0.2496  0.7500
K  0.5000  0.7504  0.2500

Entry 2:
Material: K3Np3BiS8
Method: DFT, GGA-PBE
State: relaxed

Values from the calculation:
Electronic total energy (eV per atom): -6.50
Raw formation energy (eV/atom): -1.23

Cell lengths 8.1532, 8.1539, 8.7903 Å; angles 117.65, 90.00, 120.00 degrees
Last column: magnetic moment on the atom in μB.
Atoms (fractional coordinates):
S  0.2776  0.0390  0.3006  -0.07
S  0.2386  0.9610  0.6994  -0.07
S  0.7224  0.9610  0.6994  -0.07
S  0.7614  0.5228  0.3005  -0.07
S  0.2386  0.4772  0.6995  -0.07
S  0.2672  0.5343  0.3017  -0.08
S  0.7614  0.0390  0.3006  -0.07
S  0.7328  0.4657  0.6983  -0.08
K  0.0000  0.0000  0.0000  0.00
K  0.5000  0.5000  0.0000  0.00
K  0.0000  0.5000  0.0000  0.00
Np  0.5000  0.0000  0.5000  3.70
Np  0.5000  0.5000  0.5000  3.70
Np  0.0000  0.5000  0.5000  3.70
Bi  0.0000  0.0000  0.5000  0.03

Entry 3:
Material: K3NpBi3Se8
Method: DFT, GGA-PBE
State: relaxed

Values from the calculation:
Electronic total energy (eV per atom): -4.58
Raw formation energy (eV/atom): -0.87

Cell lengths 8.5350, 8.5346, 9.3013 Å; angles 117.32, 90.00, 120.00 degrees
Last column: magnetic moment on the atom in μB.
Atoms (fractional coordinates):
Se  0.2529  0.0254  0.2981  -0.05
Se  0.2626  0.5252  0.2879  0.00
Se  0.7374  0.4748  0.7121  0.00
Se  0.7725  0.0254  0.2981  -0.05
Se  0.2275  0.4550  0.7020  -0.05
Se  0.7725  0.5450  0.2980  -0.05
Se  0.7471  0.9746  0.7019  -0.05
Se  0.2275  0.9746  0.7019  -0.05
Np  0.0000  0.0000  0.5000  3.32
K  0.0000  0.0000  0.0000  0.00
K  0.5000  0.5000  0.0000  0.00
K  0.0000  0.5000  0.0000  0.00
Bi  0.5000  0.5000  0.5000  0.01
Bi  0.0000  0.5000  0.5000  0.01
Bi  0.5000  0.0000  0.5000  0.01

Entry 4:
Material: K3Np3BiSe8
Method: DFT, GGA-PBE
State: relaxed

Values from the calculation:
Electronic total energy (eV per atom): -6.03
Raw formation energy (eV/atom): -1.11

Cell lengths 8.5206, 8.5311, 9.1578 Å; angles 117.70, 89.99, 119.96 degrees
Last column: magnetic moment on the atom in μB.
Atoms (fractional coordinates):
Se  0.2391  0.4783  0.7036  -0.07
Se  0.2738  0.0341  0.2948  0.00
Se  0.7262  0.9659  0.7052  0.00
Se  0.2646  0.5292  0.2951  -0.03
Se  0.7354  0.4708  0.7049  -0.03
Se  0.7609  0.5217  0.2964  -0.07
Se  0.7603  0.0341  0.2948  0.00
Se  0.2397  0.9659  0.7052  0.00
Np  0.5000  0.0000  0.5000  -3.68
Np  0.0000  0.5000  0.5000  3.73
Np  0.5000  0.5000  0.5000  3.73
K  0.0000  0.0000  0.0000  0.00
K  0.0000  0.5000  0.0000  0.00
K  0.5000  0.5000  0.0000  0.00
Bi  0.0000  0.0000  0.5000  0.01

Entry 5:
Material: K3Np2BiSe6
Method: DFT, GGA-PBE
State: relaxed

Values from the calculation:
Electronic total energy (eV per atom): -5.60
Raw formation energy (eV/atom): -1.10

Cell lengths 7.4625, 7.4625, 8.0547 Å; angles 98.87, 98.87, 119.99 degrees
Last column: magnetic moment on the atom in μB.
Atoms (fractional coordinates):
Se  0.4103  0.0695  0.2083  -0.05
Se  0.2720  0.2720  0.7926  -0.05
Se  0.9305  0.5897  0.7917  -0.05
Se  0.0695  0.4103  0.2083  -0.05
Se  0.7280  0.7280  0.2074  -0.05
Se  0.5897  0.9305  0.7917  -0.05
K  0.1635  0.8365  0.5000  0.00
K  0.5000  0.5000  0.5000  0.00
K  0.8365  0.1635  0.5000  0.00
Np  0.6670  0.3330  0.0000  3.95
Np  0.3330  0.6670  0.0000  3.95
Bi  0.0000  0.0000  0.0000  0.06

Entry 6:
Material: K4Np3BiSe8
Method: DFT, GGA-PBE
State: relaxed

Values from the calculation:
Electronic total energy (eV per atom): -5.82
Raw formation energy (eV/atom): -1.14

Cell lengths 8.5883, 9.1406, 8.5884 Å; angles 118.03, 120.00, 90.00 degrees
Last column: magnetic moment on the atom in μB.
Atoms (fractional coordinates):
K  0.5000  0.0000  0.5000  0.00
K  0.5000  0.0000  0.0000  0.00
K  0.0000  0.0000  0.5000  0.00
K  0.0000  0.0000  0.0000  0.00
Se  0.2653  0.2959  0.5306  -0.08
Se  0.2698  0.2911  0.0304  -0.05
Se  0.7606  0.2911  0.0304  -0.05
Se  0.2392  0.7087  0.4784  -0.05
Se  0.7608  0.2913  0.5216  -0.05
Se  0.2394  0.7089  0.9696  -0.05
Se  0.7347  0.7041  0.4694  -0.08
Se  0.7302  0.7089  0.9696  -0.05
Bi  0.0000  0.5000  0.0000  0.05
Np  0.5000  0.5000  0.0000  3.95
Np  0.0000  0.5000  0.5000  3.95
Np  0.5000  0.5000  0.5000  3.95

Entry 7:
Material: K3Np3BiTe8
Method: DFT, GGA-PBE
State: relaxed

Values from the calculation:
Electronic total energy (eV per atom): -5.51
Raw formation energy (eV/atom): -0.77

Cell lengths 9.0590, 9.0591, 9.7963 Å; angles 117.55, 90.00, 120.00 degrees
Last column: magnetic moment on the atom in μB.
Atoms (fractional coordinates):
Np  0.5000  0.0000  0.5000  3.84
Np  0.5000  0.5000  0.5000  3.84
Np  0.0000  0.5000  0.5000  3.84
K  0.0000  0.5000  0.0000  0.00
K  0.5000  0.5000  0.0000  0.00
K  0.0000  0.0000  0.0000  0.00
Te  0.2722  0.0317  0.2912  -0.07
Te  0.7278  0.9683  0.7088  -0.07
Te  0.7595  0.5190  0.2912  -0.07
Te  0.7595  0.0317  0.2913  -0.07
Te  0.2405  0.4810  0.7088  -0.07
Te  0.2638  0.5276  0.2914  -0.08
Te  0.2405  0.9683  0.7087  -0.07
Te  0.7362  0.4724  0.7086  -0.08
Bi  0.0000  0.0000  0.5000  0.03

Entry 8:
Material: K2NpBiTe4
Method: DFT, GGA-PBE
State: relaxed

Values from the calculation:
Electronic total energy (eV per atom): -4.69
Raw formation energy (eV/atom): -0.75

Cell lengths 4.6005, 7.9860, 8.6456 Å; angles 107.94, 90.00, 90.00 degrees
Last column: magnetic moment on the atom in μB.
Atoms (fractional coordinates):
Np  0.5000  0.5000  0.0000  4.00
Bi  0.0000  0.0000  0.0000  0.03
K  0.5000  0.0000  0.5000  0.00
K  0.0000  0.5000  0.5000  0.00
Te  0.5000  0.7608  0.7882  -0.02
Te  0.0000  0.7333  0.2099  -0.05
Te  0.5000  0.2392  0.2118  -0.02
Te  0.0000  0.2667  0.7901  -0.05

Which formula does entry 8 have? K2NpBiTe4

Which of these has the highest raw formation energy? K2NpBiTe4